Entry from Alexandria: an optimized crystal structure of Ca2RuW (PBE).

The space group is I-42d (No. 122) and the conventional cell measures 10.629, 10.629 and 4.690 Å, with angles of 90.00, 90.00 and 90.00 degrees. The distinct sites, in fractional coordinates, are Ca at (0.087, 0.250, 0.125), Ru at (0.000, 0.000, 0.000) and W at (0.000, 0.000, 0.500).

The calculation puts the relative energy among the computed polymorphs at 726 meV/atom. Its density of states at the Fermi level is 19.35 states/eV/cell. The value obtained for the total magnetic moment is 9.022 μB per cell.